# 1
Computed, not measured: a geometry-optimized ZrAgC2 structure at the PBE level of DFT.

POSCAR file:
```
ZrAgC2
1.0
4.773 0.000 0.000
0.000 4.773 0.000
2.386 2.386 5.530
Ag C Zr
2 4 2
direct
0.000 0.000 0.000 Ag
0.750 0.250 0.500 Ag
0.120 0.625 0.250 C
0.375 0.370 0.750 C
0.630 0.125 0.250 C
0.875 0.880 0.750 C
0.500 0.500 0.000 Zr
0.250 0.750 0.500 Zr
```

Summary:
ΔE_f = 1138 meV per atom
Distance to the lowest polymorph of the same formula = 0 meV/atom
Symmetry = I-42d
Mass density = 5.9 Mg/m³


# 2
Computed, not measured: a geometry-optimized FeIrBr2 structure at the PBE level of DFT.

POSCAR file:
```
FeIrBr2
1.0
-3.423 -0.039 -0.862
-0.985 -0.898 -3.269
-2.054 -8.513 0.954
Br Ir Fe
2 1 1
direct
0.778 0.778 0.651 Br
0.971 0.971 0.100 Br
0.181 0.181 0.452 Ir
0.569 0.569 0.297 Fe
```

Summary:
Distance to the lowest polymorph of the same formula = 0 meV/atom
Symmetry = Cm
Raw formation energy = 0.118 eV/atom
Mass density = 7.3 Mg/m³


# 3
Computed, not measured: a geometry-optimized LaTcBr2 structure at the PBE level of DFT.

POSCAR file:
```
LaTcBr2
1.0
-7.460 -1.585 -1.741
-5.218 -5.697 1.231
5.311 5.291 2.233
Tc Br La
1 2 1
direct
0.273 0.773 0.500 Tc
0.769 0.269 0.500 Br
0.033 0.033 0.000 Br
0.426 0.426 0.000 La
```

Summary:
Distance to the lowest polymorph of the same formula = 211 meV/atom
Symmetry = Imm2
Raw formation energy = -0.350 eV/atom
Mass density = 6.0 Mg/m³


# 4
Computed, not measured: a geometry-optimized CsSnTeF structure at the PBE level of DFT.

POSCAR file:
```
CsSnTeF
1.0
-2.077 -3.540 3.393
1.172 -1.496 -5.023
5.541 -1.558 1.767
Cs Te Sn F
1 1 1 1
direct
0.906 0.812 0.781 Cs
0.571 0.142 0.285 Te
0.239 0.477 0.263 Sn
0.239 0.477 0.910 F
```

Summary:
Symmetry = Cm
Raw formation energy = -1.409 eV/atom
Mass density = 4.4 Mg/m³


# 5
Computed, not measured: a geometry-optimized BeFe2Br structure at the PBE level of DFT.

POSCAR file:
```
BeFe2Br
1.0
-3.802 -0.550 1.760
-3.421 -0.412 -2.446
-1.945 -3.739 -0.299
Fe Be Br
2 1 1
direct
0.000 0.000 0.000 Fe
0.750 0.750 0.750 Fe
0.500 0.500 0.500 Be
0.250 0.250 0.250 Br
```

Summary:
Distance to the lowest polymorph of the same formula = 576 meV/atom
Symmetry = F-43m
Raw formation energy = 0.836 eV/atom
Mass density = 6.2 Mg/m³


# 6
Computed, not measured: a geometry-optimized Ta2CuOs structure at the PBE level of DFT.

POSCAR file:
```
Ta2CuOs
1.0
4.510 0.000 0.000
0.000 3.028 -0.002
0.000 0.006 4.640
Os Ta Cu
1 2 1
direct
0.500 0.625 0.829 Os
0.000 0.125 0.906 Ta
0.500 0.125 0.336 Ta
0.000 0.625 0.430 Cu
```

Summary:
ΔE_f = -88 meV per atom
Symmetry = Pmm2
Mass density = 16.1 Mg/m³


# 7
Computed, not measured: a geometry-optimized Pr2Si2O7 structure at the PBE level of DFT.

POSCAR file:
```
Pr2Si2O7
1.0
6.857 0.000 0.000
0.000 6.857 0.000
0.000 0.000 24.957
O Pr Si
56 16 16
direct
0.279 0.376 0.551 O
0.329 0.570 0.982 O
0.139 0.443 0.338 O
0.985 0.451 0.160 O
0.391 0.891 0.208 O
0.795 0.816 0.338 O
0.046 0.840 0.040 O
0.240 0.198 0.647 O
0.879 0.162 0.388 O
0.624 0.279 0.801 O
0.430 0.329 0.232 O
0.276 0.061 0.484 O
0.237 0.550 0.783 O
0.891 0.609 0.958 O
0.763 0.450 0.283 O
0.162 0.121 0.138 O
0.557 0.139 0.588 O
0.125 0.424 0.066 O
0.184 0.795 0.588 O
0.198 0.760 0.397 O
0.520 0.485 0.632 O
0.424 0.875 0.816 O
0.549 0.985 0.410 O
0.515 0.520 0.882 O
0.443 0.861 0.088 O
0.121 0.838 0.888 O
0.763 0.133 0.224 O
0.861 0.557 0.838 O
0.760 0.802 0.147 O
0.015 0.549 0.660 O
0.450 0.237 0.033 O
0.205 0.184 0.838 O
0.802 0.240 0.897 O
0.451 0.015 0.910 O
0.721 0.624 0.051 O
0.550 0.763 0.533 O
0.840 0.954 0.790 O
0.485 0.480 0.382 O
0.867 0.763 0.474 O
0.061 0.724 0.234 O
0.570 0.671 0.732 O
0.109 0.391 0.458 O
0.133 0.237 0.974 O
0.671 0.430 0.482 O
0.480 0.515 0.132 O
0.816 0.205 0.088 O
0.576 0.125 0.316 O
0.875 0.576 0.566 O
0.954 0.160 0.540 O
0.724 0.939 0.984 O
0.376 0.721 0.301 O
0.838 0.879 0.638 O
0.939 0.276 0.734 O
0.237 0.867 0.724 O
0.160 0.046 0.290 O
0.609 0.109 0.708 O
0.659 0.083 0.495 Pr
0.083 0.341 0.245 Pr
0.341 0.917 0.995 Pr
0.226 0.707 0.495 Pr
0.917 0.659 0.745 Pr
0.833 0.523 0.392 Pr
0.869 0.241 0.633 Pr
0.523 0.167 0.142 Pr
0.131 0.759 0.133 Pr
0.293 0.226 0.745 Pr
0.759 0.869 0.883 Pr
0.707 0.774 0.245 Pr
0.241 0.131 0.383 Pr
0.774 0.293 0.995 Pr
0.167 0.477 0.892 Pr
0.477 0.833 0.642 Pr
0.240 0.855 0.259 Si
0.983 0.713 0.614 Si
0.287 0.983 0.864 Si
0.017 0.287 0.114 Si
0.307 0.604 0.357 Si
0.855 0.760 0.009 Si
0.733 0.625 0.514 Si
0.396 0.307 0.607 Si
0.375 0.733 0.764 Si
0.604 0.693 0.107 Si
0.693 0.396 0.857 Si
0.267 0.375 0.014 Si
0.713 0.017 0.364 Si
0.625 0.267 0.264 Si
0.760 0.145 0.759 Si
0.145 0.240 0.509 Si
```

Summary:
Symmetry = P4_1
Raw formation energy = -3.156 eV/atom
Mass density = 5.1 Mg/m³